The following is a DFT calculation (GGA-PBE) of a relaxed structure of Er12P3O5.

Results
**Space group**: Ia-3d, No. 230
**Calculated density**: 8.82 Mg/m³
**Formation energy from raw total energies**: -1.772 eV per atom
**Magnetic moment**: 0.000 μB per atom

Lattice parameters (Å, degrees): 12.8719 12.8719 12.8719 109.47 109.47 109.47
Atoms (fractional coordinates):
Er: 0.3137 0.7945 0.4096
P: 0.3750 0.6250 0.2500
O: 0.5000 0.0000 0.0000
P: 0.8750 0.1250 0.2500
Er: 0.2055 0.6863 0.0904
Er: 0.8137 0.9041 0.0192
P: 0.2500 0.1250 0.3750
Er: 0.3849 0.9808 0.7945
P: 0.6250 0.3750 0.7500
Er: 0.4808 0.6863 0.0959
O: 0.2500 0.3750 0.6250
Er: 0.6863 0.4808 0.5959
O: 0.6250 0.8750 0.2500
Er: 0.5192 0.3137 0.9041
Er: 0.4096 0.2945 0.3137
O: 0.0000 0.0000 0.0000
Er: 0.0904 0.1863 0.2055
Er: 0.9808 0.3849 0.2945
Er: 0.1151 0.4096 0.0959
O: 0.6250 0.7500 0.8750
Er: 0.4808 0.7945 0.8849
Er: 0.0192 0.4041 0.8137
O: 0.0000 0.5000 0.5000
Er: 0.0192 0.6151 0.7055
O: 0.8750 0.2500 0.6250
Er: 0.9041 0.0904 0.8849
Er: 0.5904 0.7055 0.6863
O: 0.1250 0.3750 0.2500
Er: 0.3849 0.4041 0.0904
Er: 0.2055 0.5192 0.6151
O: 0.3750 0.1250 0.7500
Er: 0.6151 0.0192 0.2055
O: 0.5000 0.5000 0.0000
P: 0.1250 0.8750 0.7500
Er: 0.6151 0.5959 0.9096
Er: 0.2945 0.4096 0.8137
Er: 0.7055 0.1151 0.0192
O: 0.7500 0.6250 0.3750
O: 0.0000 0.5000 0.0000
Er: 0.2945 0.8849 0.9808
Er: 0.5959 0.9808 0.6863
Er: 0.5959 0.6151 0.4096
O: 0.1250 0.7500 0.3750
Er: 0.9096 0.0959 0.6151
Er: 0.6863 0.2055 0.5904
Er: 0.7055 0.5904 0.1863
P: 0.3750 0.7500 0.6250
O: 0.8750 0.6250 0.7500
P: 0.6250 0.2500 0.3750
Er: 0.4041 0.3849 0.5904
Er: 0.0959 0.9096 0.1151
O: 0.5000 0.0000 0.5000
Er: 0.7945 0.4808 0.3849
Er: 0.4096 0.1151 0.5959
Er: 0.4041 0.0192 0.3137
O: 0.7500 0.1250 0.8750
P: 0.7500 0.8750 0.6250
Er: 0.9041 0.8137 0.5192
O: 0.5000 0.5000 0.5000
Er: 0.5904 0.8849 0.4041
Er: 0.8137 0.9096 0.2945
Er: 0.1863 0.0904 0.7055
P: 0.2500 0.6250 0.8750
Er: 0.0904 0.9041 0.3849
P: 0.7500 0.3750 0.1250
Er: 0.8849 0.5904 0.9041
Er: 0.7945 0.3137 0.9096
Er: 0.1863 0.0959 0.9808
O: 0.0000 0.0000 0.5000
P: 0.8750 0.7500 0.1250
Er: 0.1151 0.7055 0.5192
Er: 0.0959 0.1863 0.4808
Er: 0.9808 0.5959 0.1863
Er: 0.8849 0.2945 0.4808
Er: 0.5192 0.2055 0.1151
O: 0.3750 0.2500 0.1250
P: 0.1250 0.2500 0.8750
O: 0.2500 0.8750 0.1250
Er: 0.9096 0.8137 0.7945
Er: 0.3137 0.5192 0.4041